5
Lattice="5.257 0.000 0.000 0.000 5.257 0.000 0.000 0.000 5.257" Properties=species:S:1:pos:R:3 comment="Na3MnIr, relaxed, DFT PBE" m_tot_mub_per_fu=5.10 formation_energy_mev_per_atom=1550 polymorph_energy_ev_per_atom=0.4141 space_group=Pm-3m pbc="T T T"
Ir 2.628 2.628 2.628
Na 0.000 2.628 0.000
Na 0.000 0.000 2.628
Na 2.628 0.000 0.000
Mn 0.000 0.000 0.000

4
Lattice="-4.383 -7.142 4.701 -1.516 -7.616 5.659 -3.293 -5.580 7.095" Properties=species:S:1:pos:R:3 comment="Mg2AlZn, relaxed, DFT PBE" m_tot_mub_per_fu=0.00 formation_energy_mev_per_atom=20 space_group=R-3m pbc="T T T"
Al -6.894 -15.253 13.091
Zn -2.298 -5.084 4.364
Mg -9.174 -20.296 17.419
Mg -4.615 -10.210 8.763

18
Lattice="6.554 0.000 0.000 -3.277 5.676 0.000 0.000 0.000 11.343" Properties=species:S:1:pos:R:3 comment="NaPdAuCl6, relaxed, DFT PBE" e_form_raw_mev_per_atom=-593 m_tot_mub_per_fu=0.00 space_group=P-31c pbc="T T T"
Au 0.000 0.000 0.000
Au 0.000 0.000 5.671
Cl 2.389 3.627 1.417
Cl 1.331 1.794 4.254
Cl 1.058 5.421 9.925
Cl 2.219 0.255 1.417
Cl -1.946 3.882 9.925
Cl 4.335 0.255 4.254
Cl 4.165 3.627 4.254
Cl -1.058 5.421 7.089
Cl 5.223 1.794 1.417
Cl 1.946 3.882 7.089
Cl 0.888 2.049 9.925
Cl -0.888 2.049 7.089
Na 3.277 1.892 8.507
Na 0.000 3.784 2.836
Pd 3.277 1.892 2.836
Pd 0.000 3.784 8.507

4
Lattice="4.878 0.000 0.000 0.000 4.640 0.000 0.000 0.000 4.640" Properties=species:S:1:pos:R:3 comment="CePmHf2, relaxed, DFT PBE" m_tot_mub_per_fu=0.00 formation_energy_mev_per_atom=235 space_group=P4/mmm pbc="T T T"
Pm 2.439 2.320 2.320
Hf 0.000 0.000 2.320
Hf 0.000 2.320 0.000
Ce 2.439 0.000 0.000

| no. | N(E_F) (states/eV per atom) |
| --- | --- |
| 1 | 0.49 |
| 2 | 0.48 |
| 3 | 0.19 |
| 4 | 1.58 |